No. 1
Nd2MgRh, relaxed, DFT PBE; formation energy = -0.310 eV per atom; total DFT energy (no corrections) = -19.721 eV/cell; crystal system = trigonal; E above lowest polymorph = 59 meV per atom; density of states at the Fermi level = 2.77 states/eV/cell
1.0
4.000 0.000 0.002
-1.999 3.461 -0.010
-0.006 -2.289 8.674
Rh Nd Mg
1 2 1
Direct
0.584 0.925 0.552
0.314 0.385 0.742
0.854 0.465 0.362
0.085 0.925 0.052

No. 2
Nd2MgRh, relaxed, DFT PBE; formation energy = -0.295 eV per atom; total DFT energy (no corrections) = -19.664 eV/cell; crystal system = trigonal; E above lowest polymorph = 73 meV per atom; density of states at the Fermi level = 3.15 states/eV/cell
1.0
4.068 0.000 0.000
2.034 3.523 0.000
2.034 1.174 8.490
Nd Rh Mg
2 1 1
Direct
0.271 0.271 0.187
0.062 0.062 0.813
0.666 0.666 0.002
0.500 0.500 0.499

No. 3
Nd3Mg4Rh4, relaxed, DFT PBE; formation energy = -0.527 eV per atom; total DFT energy (no corrections) = -55.881 eV/cell; crystal system = orthorhombic; density of states at the Fermi level = 5.36 states/eV/cell
1.0
-0.783 -2.971 2.550
7.205 -3.138 -1.444
-0.380 7.026 4.944
Mg Nd Rh
4 3 4
Direct
0.326 0.137 0.652
0.674 0.485 0.348
0.326 0.515 0.652
0.674 0.863 0.348
0.885 0.885 0.769
0.115 0.115 0.231
0.000 0.500 0.000
0.764 0.264 0.529
0.500 0.803 0.000
0.236 0.736 0.471
0.500 0.197 0.000

No. 4
NdMgRh, relaxed, DFT PBE; formation energy = -0.418 eV per atom; total DFT energy (no corrections) = -14.967 eV/cell; crystal system = tetragonal; density of states at the Fermi level = 1.34 states/eV/cell
1.0
3.378 0.000 0.000
0.000 3.378 0.000
-1.689 -1.689 5.916
Mg Rh Nd
1 1 1
Direct
0.652 0.652 0.304
0.274 0.274 0.548
0.924 0.924 0.847

No. 5
Nd2MgRh, relaxed, DFT PBE; formation energy = -0.121 eV per atom; total DFT energy (no corrections) = -18.967 eV/cell; crystal system = trigonal; E above lowest polymorph = 247 meV per atom; density of states at the Fermi level = 2.32 states/eV/cell
1.0
3.983 0.000 0.000
1.992 3.450 0.000
1.992 1.150 10.245
Nd Rh Mg
2 1 1
Direct
0.885 0.885 0.344
0.115 0.115 0.656
0.500 0.500 0.500
0.000 0.000 0.000

No. 6
NdMg11Rh, relaxed, DFT PBE; formation energy = -0.143 eV per atom; total DFT energy (no corrections) = -31.520 eV/cell; crystal system = monoclinic; density of states at the Fermi level = 6.69 states/eV/cell
1.0
5.218 -0.016 2.174
2.540 7.189 1.058
-0.152 -0.008 7.714
Mg Rh Nd
11 1 1
Direct
0.000 0.500 0.000
0.363 0.638 0.667
0.000 0.000 0.500
0.970 0.362 0.667
0.500 0.000 0.500
0.637 0.362 0.333
0.698 0.777 0.796
0.494 0.777 0.204
0.506 0.223 0.796
0.030 0.638 0.333
0.302 0.223 0.204
0.500 0.500 0.000
0.000 0.000 0.000

No. 7
NdMgRh, relaxed, DFT PBE; formation energy = -0.605 eV per atom; total DFT energy (no corrections) = -62.114 eV/cell; crystal system = orthorhombic; density of states at the Fermi level = 5.16 states/eV/cell
1.0
4.174 0.000 0.000
0.000 7.265 0.000
0.000 0.000 8.722
Nd Mg Rh
4 4 4
Direct
0.250 0.039 0.679
0.750 0.961 0.321
0.750 0.461 0.179
0.250 0.539 0.821
0.250 0.634 0.442
0.750 0.866 0.942
0.750 0.366 0.558
0.250 0.134 0.058
0.250 0.252 0.373
0.250 0.752 0.127
0.750 0.748 0.627
0.750 0.248 0.873

No. 8
Nd2MgRh, relaxed, DFT PBE; formation energy = -0.369 eV per atom; total DFT energy (no corrections) = -19.956 eV/cell; crystal system = tetragonal; E above lowest polymorph = 0 meV per atom; density of states at the Fermi level = 2.60 states/eV/cell
1.0
-2.727 -2.423 -0.264
0.552 -0.227 -3.608
5.053 -5.811 1.139
Rh Mg Nd
1 1 2
Direct
0.500 0.500 0.000
0.500 0.500 0.500
0.000 0.000 0.787
0.000 0.000 0.213

No. 9
Nd12MgRh7, relaxed, DFT PBE; formation energy = -0.488 eV per atom; total DFT energy (no corrections) = -120.030 eV/cell; crystal system = trigonal; density of states at the Fermi level = 13.26 states/eV/cell
1.0
-1.312 -2.239 8.758
8.919 0.936 -1.734
-4.450 7.722 -2.003
Nd Rh Mg
12 7 1
Direct
0.680 0.598 0.885
0.598 0.885 0.680
0.115 0.320 0.402
0.884 0.339 0.739
0.261 0.116 0.661
0.885 0.680 0.598
0.116 0.661 0.261
0.661 0.261 0.116
0.739 0.884 0.339
0.339 0.739 0.884
0.320 0.402 0.115
0.402 0.115 0.320
0.061 0.725 0.963
0.963 0.061 0.725
0.037 0.939 0.275
0.500 0.500 0.500
0.725 0.963 0.061
0.275 0.037 0.939
0.939 0.275 0.037
0.000 0.000 0.000

No. 10
Nd6Mg2Rh, relaxed, DFT PBE; formation energy = -0.099 eV per atom; total DFT energy (no corrections) = -80.081 eV/cell; crystal system = monoclinic; density of states at the Fermi level = 20.87 states/eV/cell
1.0
-5.623 1.282 -2.868
1.572 -5.925 -5.730
-6.124 -6.660 5.206
Nd Mg Rh
12 4 2
Direct
0.631 0.467 0.248
0.381 0.835 0.020
0.109 0.303 0.036
0.131 0.033 0.748
0.369 0.533 0.752
0.391 0.803 0.464
0.609 0.197 0.536
0.881 0.665 0.520
0.891 0.697 0.964
0.619 0.165 0.980
0.119 0.335 0.480
0.869 0.967 0.252
0.856 0.402 0.772
0.144 0.598 0.228
0.356 0.098 0.272
0.644 0.902 0.728
0.000 0.000 0.500
0.500 0.500 0.000

No. 11
NdMgRh, relaxed, DFT PBE; formation energy = -0.603 eV per atom; total DFT energy (no corrections) = -93.130 eV/cell; crystal system = monoclinic; density of states at the Fermi level = 8.34 states/eV/cell
1.0
-0.982 1.186 3.880
-1.941 -6.957 1.636
12.005 -2.473 3.795
Mg Nd Rh
6 6 6
Direct
0.250 0.003 0.084
0.750 0.632 0.800
0.250 0.865 0.461
0.750 0.997 0.916
0.250 0.368 0.200
0.750 0.135 0.539
0.250 0.460 0.622
0.250 0.957 0.715
0.750 0.655 0.084
0.250 0.345 0.916
0.750 0.043 0.285
0.750 0.540 0.378
0.750 0.247 0.080
0.750 0.752 0.584
0.250 0.248 0.416
0.750 0.254 0.751
0.250 0.753 0.920
0.250 0.746 0.249

No. 12
NdMg4Rh2, relaxed, DFT PBE; formation energy = -0.420 eV per atom; total DFT energy (no corrections) = -57.573 eV/cell; crystal system = tetragonal; density of states at the Fermi level = 4.90 states/eV/cell
1.0
-3.893 1.327 0.653
-2.260 -7.674 2.116
1.877 1.624 7.894
Mg Nd Rh
8 2 4
Direct
0.000 0.662 0.903
0.500 0.597 0.162
0.000 0.338 0.097
0.500 0.162 0.597
0.500 0.838 0.403
0.000 0.097 0.338
0.000 0.903 0.662
0.500 0.403 0.838
0.000 0.500 0.500
0.500 0.000 0.000
0.000 0.199 0.801
0.500 0.699 0.699
0.500 0.301 0.301
0.000 0.801 0.199